# ZrZn2Pd2

A geometry-optimized ZrZn2Pd2 structure (GGA-PBE, Alexandria via LeMat-Bulk).

a = 7.536 Å, b = 7.536 Å, c = 2.876 Å
α = 90.00°, β = 90.00°, γ = 90.00°
Element x y z (fractional)
Pd (0.136, 0.364, 0.000)
Pd (0.864, 0.636, 0.000)
Zn (0.661, 0.839, 0.500)
Zr (0.000, 0.000, 0.000)
Pd (0.364, 0.864, 0.000)
Pd (0.636, 0.136, 0.000)
Zn (0.839, 0.339, 0.500)
Zn (0.339, 0.161, 0.500)
Zn (0.161, 0.661, 0.500)
Zr (0.500, 0.500, 0.000)

- space-group type = P4/mbm, No. 127
- total magnetization (μB/f.u.) = 0.00
- uncorrected energy (Ha/atom) = -0.1739
- excess energy over the best structure of this formula in the dataset (meV/atom) = 90
- E_form (meV/atom) = -435